# CoP2HCl, optimized geometry, DFT PBE
data_CoP2HCl
_cell_length_a 4.215
_cell_length_b 4.215
_cell_length_c 5.142
_cell_angle_alpha 90.00
_cell_angle_beta 90.00
_cell_angle_gamma 90.00
_symmetry_space_group_name_H-M 'P 1'
_symmetry_Int_Tables_number 1
loop_
_symmetry_equiv_pos_as_xyz
'x,y,z'
loop_
_atom_site_label
_atom_site_type_symbol
_atom_site_fract_x
_atom_site_fract_y
_atom_site_fract_z
_atom_site_occupancy
Cl1 Cl 0.000 0.000 0.500 1
P1 P 0.500 0.000 0.000 1
P2 P 0.000 0.500 0.000 1
Co1 Co 0.000 0.000 0.000 1
H1 H 0.500 0.500 0.500 1
# energy relative to the lowest polymorph listed for this composition = 39 meV per atom

***

# CoP2HCl, optimized geometry, DFT PBE
data_CoP2HCl
_cell_length_a 3.499
_cell_length_b 3.499
_cell_length_c 6.319
_cell_angle_alpha 90.00
_cell_angle_beta 90.00
_cell_angle_gamma 90.00
_symmetry_space_group_name_H-M 'P 1'
_symmetry_Int_Tables_number 1
loop_
_symmetry_equiv_pos_as_xyz
'x,y,z'
loop_
_atom_site_label
_atom_site_type_symbol
_atom_site_fract_x
_atom_site_fract_y
_atom_site_fract_z
_atom_site_occupancy
Cl1 Cl 0.000 0.000 0.500 1
H1 H 0.000 0.000 0.000 1
Co1 Co 0.500 0.500 0.500 1
P1 P 0.500 0.000 0.000 1
P2 P 0.000 0.500 0.000 1
# energy relative to the lowest polymorph listed for this composition = 0 meV per atom